Version P
Here is RbIr2F after structural relaxation from Alexandria. Energies are from PBE.

Calculated values
Calculated volume ... 75 Å³ per cell
SG ... Fm-3m
DOS at the Fermi energy ... 8.49 states/eV/cell

Unit cell a=4.7257 b=4.7257 c=4.7257 alpha=60.00 beta=60.00 gamma=60.00
Fractional positions:
Rb (0.0000, 0.0000, 0.0000)
Ir (0.2500, 0.2500, 0.2500)
Ir (0.7500, 0.7500, 0.7500)
F (0.5000, 0.5000, 0.5000)



Version Q
Here is RbIr2F after structural relaxation from Alexandria. Energies are from PBE.

Calculated values
Calculated volume ... 203 Å³ per cell
SG ... I4_1/amd
DOS at the Fermi energy ... 9.18 states/eV/cell

Unit cell a=9.7870 b=9.7870 c=9.7870 alpha=152.21 beta=152.21 gamma=39.71
Fractional positions:
Rb (0.3750, 0.6250, 0.7500)
Rb (0.6250, 0.3750, 0.2500)
Ir (0.0000, 0.0000, 0.0000)
Ir (0.0000, 0.0000, 0.5000)
Ir (0.0000, 0.5000, 0.0000)
Ir (0.5000, 0.0000, 0.5000)
F (0.1250, 0.8750, 0.2500)
F (0.8750, 0.1250, 0.7500)



Taking the most stable structure as the zero point, the relative energies in meV per atom are version P 1153; version Q 0.



Version P
Here is Rb3IrF8 after structural relaxation from Alexandria. Energies are from PBE.

Calculated values
Calculated volume ... 222 Å³ per cell
SG ... I4/mmm
DOS at the Fermi energy ... 0.00 states/eV/cell

Unit cell a=7.3267 b=7.3267 c=7.3267 alpha=130.47 beta=130.47 gamma=72.66
Fractional positions:
Rb (0.0000, 0.0000, 0.0000)
Rb (0.2500, 0.7500, 0.5000)
Rb (0.7500, 0.2500, 0.5000)
Ir (0.5000, 0.5000, 0.0000)
F (0.2078, 0.2078, 0.6153)
F (0.2078, 0.5924, 0.0000)
F (0.4076, 0.4076, 0.6153)
F (0.4076, 0.7922, 0.0000)
F (0.5924, 0.2078, 0.0000)
F (0.5924, 0.5924, 0.3847)
F (0.7922, 0.4076, 0.0000)
F (0.7922, 0.7922, 0.3847)



Version Q
Here is Rb3IrF8 after structural relaxation from Alexandria. Energies are from PBE.

Calculated values
Calculated volume ... 220 Å³ per cell
SG ... I-42m
DOS at the Fermi energy ... 6.44 states/eV/cell

Unit cell a=6.7724 b=6.7724 c=6.7724 alpha=119.79 beta=119.79 gamma=90.36
Fractional positions:
Rb (0.0000, 0.0000, 0.0000)
Rb (0.2500, 0.7500, 0.5000)
Rb (0.7500, 0.2500, 0.5000)
Ir (0.5000, 0.5000, 0.0000)
F (0.1935, 0.4575, 0.0000)
F (0.2296, 0.2296, 0.5946)
F (0.3650, 0.7704, 0.0000)
F (0.4575, 0.1935, 0.0000)
F (0.5425, 0.5425, 0.7360)
F (0.6350, 0.6350, 0.4054)
F (0.7704, 0.3650, 0.0000)
F (0.8065, 0.8065, 0.2640)



Taking the most stable structure as the zero point, the relative energies in meV per atom are version P 0; version Q 134.



Version P
Here is Rb2IrF7 after structural relaxation from Alexandria. Energies are from PBE.

Calculated values
Calculated volume ... 193 Å³ per cell
SG ... Fm-3m
DOS at the Fermi energy ... 15.90 states/eV/cell

Unit cell a=6.4896 b=6.4896 c=6.4896 alpha=60.00 beta=60.00 gamma=60.00
Fractional positions:
Rb (0.2500, 0.2500, 0.2500)
Rb (0.7500, 0.7500, 0.7500)
Ir (0.0000, 0.0000, 0.0000)
F (0.2114, 0.2114, 0.7886)
F (0.2114, 0.7886, 0.2114)
F (0.2114, 0.7886, 0.7886)
F (0.5000, 0.5000, 0.5000)
F (0.7886, 0.2114, 0.2114)
F (0.7886, 0.2114, 0.7886)
F (0.7886, 0.7886, 0.2114)



Version Q
Here is Rb2IrF7 after structural relaxation from Alexandria. Energies are from PBE.

Calculated values
Calculated volume ... 353 Å³ per cell
SG ... C2/c

Unit cell a=7.9420 b=7.9420 c=10.4343 alpha=128.99 beta=128.99 gamma=47.60
Fractional positions:
Rb (0.1083, 0.2443, 0.2715)
Rb (0.2443, 0.1083, 0.7715)
Rb (0.7557, 0.8917, 0.2285)
Rb (0.8917, 0.7557, 0.7285)
Ir (0.4581, 0.5419, 0.2500)
Ir (0.5419, 0.4581, 0.7500)
F (0.1514, 0.8486, 0.2500)
F (0.2223, 0.6397, 0.5977)
F (0.2846, 0.5541, 0.0144)
F (0.2877, 0.3737, 0.1754)
F (0.3603, 0.7777, 0.9023)
F (0.3737, 0.2877, 0.6754)
F (0.4459, 0.7154, 0.4856)
F (0.5541, 0.2846, 0.5144)
F (0.6263, 0.7123, 0.3246)
F (0.6397, 0.2223, 0.0977)
F (0.7123, 0.6263, 0.8246)
F (0.7154, 0.4459, 0.9856)
F (0.7777, 0.3603, 0.4023)
F (0.8486, 0.1514, 0.7500)



Taking the most stable structure as the zero point, the relative energies in meV per atom are version P 115; version Q 0.



Version P
Here is Rb2TlIrF6 after structural relaxation from Alexandria. Energies are from PBE.

Calculated values
Calculated volume ... 201 Å³ per cell
SG ... Fm-3m
DOS at the Fermi energy ... 0.00 states/eV/cell

Unit cell a=6.5803 b=6.5803 c=6.5803 alpha=60.00 beta=60.00 gamma=60.00
Fractional positions:
Rb (0.2500, 0.2500, 0.2500)
Rb (0.7500, 0.7500, 0.7500)
Tl (0.0000, 0.0000, 0.0000)
Ir (0.5000, 0.5000, 0.5000)
F (0.2807, 0.2807, 0.7193)
F (0.2807, 0.7193, 0.2807)
F (0.2807, 0.7193, 0.7193)
F (0.7193, 0.2807, 0.2807)
F (0.7193, 0.2807, 0.7193)
F (0.7193, 0.7193, 0.2807)



Version Q
Here is Rb2TlIrF6 after structural relaxation from Alexandria. Energies are from PBE.

Calculated values
Calculated volume ... 409 Å³ per cell
SG ... Pmmn
DOS at the Fermi energy ... 0.00 states/eV/cell

Unit cell a=6.2335 b=9.2373 c=7.1044 alpha=90.00 beta=90.00 gamma=90.00
Fractional positions:
Rb (0.2500, 0.0256, 0.1992)
Rb (0.2500, 0.4744, 0.1992)
Rb (0.7500, 0.5256, 0.8008)
Rb (0.7500, 0.9744, 0.8008)
Tl (0.2500, 0.2500, 0.6966)
Tl (0.7500, 0.7500, 0.3034)
Ir (0.2500, 0.7500, 0.7971)
Ir (0.7500, 0.2500, 0.2029)
F (0.0156, 0.7500, 0.5970)
F (0.0195, 0.7500, 0.0027)
F (0.2500, 0.5286, 0.7996)
F (0.2500, 0.9714, 0.7996)
F (0.4805, 0.7500, 0.0027)
F (0.4844, 0.7500, 0.5970)
F (0.5156, 0.2500, 0.4030)
F (0.5195, 0.2500, 0.9973)
F (0.7500, 0.0286, 0.2004)
F (0.7500, 0.4714, 0.2004)
F (0.9805, 0.2500, 0.9973)
F (0.9844, 0.2500, 0.4030)



Taking the most stable structure as the zero point, the relative energies in meV per atom are version P 7; version Q 0.